# 1
{"formula": "YBe2Os", "functional": "SCAN", "state": "single point on PBEsol structure", "lattice_angstrom": [[-2.068, 2.068, 7.887], [2.068, -2.068, 7.887], [2.068, 2.068, -7.887]], "species": ["Y", "Y", "Be", "Be", "Be", "Be", "Os", "Os"], "fractional_positions": [[0.375, 0.625, 0.750], [0.625, 0.375, 0.250], [0.000, 0.000, 0.000], [0.000, 0.000, 0.500], [0.000, 0.500, 0.000], [0.500, 0.000, 0.500], [0.125, 0.875, 0.250], [0.875, 0.125, 0.750]], "relative_energy_mev_per_atom": 326.2, "crystal_system": "tetragonal", "e_form_kj_per_mol_fu": 10, "magmom_total_mub_per_atom": 0.000}

# 2
{"formula": "K3Au", "functional": "SCAN", "state": "single point on PBEsol structure", "lattice_angstrom": [[4.520, 0.000, 0.000], [-2.260, 3.914, 0.000], [0.000, 0.000, 11.586]], "species": ["K", "K", "K", "Au"], "fractional_positions": [[0.000, 0.000, 0.000], [0.333, 0.667, 0.330], [0.333, 0.667, 0.670], [0.000, 0.000, 0.500]], "crystal_system": "hexagonal", "e_form_kj_per_mol_fu": -62, "magmom_total_mub_per_atom": 0.012}